# Li2Fe2CoO6 PBEsol optimized geometry
data_Li2Fe2CoO6
_chemical_formula_sum 'Li4 Fe4 Co2 O12'
_symmetry_space_group_name_H-M 'C 1 2/m 1'
_symmetry_Int_Tables_number 12
_cell_length_a 12.709
_cell_length_b 2.778
_cell_length_c 5.696
_cell_angle_alpha 90.00
_cell_angle_beta 106.87
_cell_angle_gamma 90.00
loop_
_symmetry_equiv_pos_as_xyz
'x,y,z'
'-x,-y,-z'
'-x,y,-z'
'x,-y,z'
'x+1/2,y+1/2,z'
'-x+1/2,-y+1/2,-z'
'-x+1/2,y+1/2,-z'
'x+1/2,-y+1/2,z'
loop_
_atom_site_label
_atom_site_fract_x
_atom_site_fract_y
_atom_site_fract_z
_atom_site_occupancy
Li1 0.144 0.000 0.303 1
Fe1 0.167 0.000 0.839 1
Co1 0.000 0.500 0.500 1
O1 0.015 0.000 0.727 1
O2 0.157 0.500 0.601 1
O3 0.177 0.500 0.073 1
# M_tot: 6.04 μB/cell
# calculated total energy: -7.04 eV per atom
# formation energy from raw total energies: -1.489 eV per atom

***

# RuPtW2 PBEsol optimized geometry
data_RuPtW2
_chemical_formula_sum 'Ru4 Pt4 W8'
_symmetry_space_group_name_H-M 'F m -3 m'
_symmetry_Int_Tables_number 225
_symmetry_space_group_name_Hall '-F 4 2 3'
_cell_length_a 6.239
_cell_length_b 6.239
_cell_length_c 6.239
_cell_angle_alpha 90.00
_cell_angle_beta 90.00
_cell_angle_gamma 90.00
loop_
_atom_site_label
_atom_site_fract_x
_atom_site_fract_y
_atom_site_fract_z
_atom_site_occupancy
Ru1 0.000 0.000 0.000 1
Pt1 0.000 0.000 0.500 1
W1 0.250 0.250 0.250 1
# M_tot: 0.00 μB/cell
# E_form: 1.74 eV/f.u.
# calculated total energy: -10.75 eV per atom

***

# YTiCuNi2 PBEsol optimized geometry
data_YTiCuNi2
_chemical_formula_sum 'Y1 Ti1 Cu1 Ni2'
_symmetry_space_group_name_H-M 'P 4/m m m'
_symmetry_Int_Tables_number 123
_symmetry_space_group_name_Hall '-P 4 2'
_cell_length_a 4.395
_cell_length_b 4.395
_cell_length_c 4.661
_cell_angle_alpha 90.00
_cell_angle_beta 90.00
_cell_angle_gamma 90.00
loop_
_atom_site_label
_atom_site_fract_x
_atom_site_fract_y
_atom_site_fract_z
_atom_site_occupancy
Y1 0.000 0.000 0.000 1
Ti1 0.500 0.500 0.000 1
Cu1 0.000 0.000 0.500 1
Ni1 0.000 0.500 0.500 1
# M_tot: 1.93 μB/cell
# E_form: 3.77 eV/f.u.
# calculated total energy: -5.60 eV per atom

***

# Li2CdIn PBEsol optimized geometry
data_Li2CdIn
_chemical_formula_sum 'Li2 Cd1 In1'
_symmetry_space_group_name_H-M 'P 4 m m'
_symmetry_Int_Tables_number 99
_cell_length_a 3.444
_cell_length_b 3.444
_cell_length_c 6.369
_cell_angle_alpha 90.00
_cell_angle_beta 90.00
_cell_angle_gamma 90.00
loop_
_symmetry_equiv_pos_as_xyz
'x,y,z'
'-y,x,z'
'-x,-y,z'
'y,-x,z'
'-x,y,z'
'y,x,z'
'x,-y,z'
'-y,-x,z'
loop_
_atom_site_label
_atom_site_fract_x
_atom_site_fract_y
_atom_site_fract_z
_atom_site_occupancy
Li1 0.000 0.000 0.000 1
Li2 0.500 0.500 0.244 1
Cd1 0.000 0.000 0.464 1
In1 0.500 0.500 0.762 1
# M_tot: 0.00 μB/cell
# E_form: -0.89 eV/f.u.
# calculated total energy: -2.25 eV per atom